(1)
The following is a DFT calculation (PBE-GGA) of crystalline Dy2Ga3GeIr4 at its relaxed geometry. Values from VASP.

* Fermi-level density of states: 0.563 states/eV/atom
* formation enthalpy at 0 K: -0.706 eV per atom

Cell and atoms, written as Quantum ESPRESSO input:
```
&SYSTEM
  ibrav = 0, nat = 10, ntyp = 4
/
ATOMIC_SPECIES
Ga 69.72 Ga.upf
Ir 192.22 Ir.upf
Dy 162.50 Dy.upf
Ge 72.64 Ge.upf
ATOMIC_POSITIONS crystal
Ga 0.000 0.500 0.128
Ir 0.500 0.500 0.000
Ga 0.500 0.000 0.872
Ir 0.500 0.000 0.628
Dy 0.000 0.500 0.766
Ge 0.500 0.500 0.500
Ir 0.000 0.000 0.000
Dy 0.500 0.000 0.234
Ir 0.000 0.500 0.372
Ga 0.000 0.000 0.500
CELL_PARAMETERS angstrom
4.279 0.000 0.000
0.000 4.279 0.000
0.000 0.000 10.032
```



(2)
The following is a DFT calculation (PBE-GGA) of crystalline DyGaGeIr2 at its relaxed geometry. Values from VASP.

* Fermi-level density of states: 0.593 states/eV/atom
* formation enthalpy at 0 K: -0.502 eV per atom

Cell and atoms, written as Quantum ESPRESSO input:
```
&SYSTEM
  ibrav = 0, nat = 10, ntyp = 4
/
ATOMIC_SPECIES
Dy 162.50 Dy.upf
Ga 69.72 Ga.upf
Ir 192.22 Ir.upf
Ge 72.64 Ge.upf
ATOMIC_POSITIONS crystal
Dy 0.617 0.235 0.250
Ga 0.696 0.393 0.750
Dy 0.383 0.765 0.750
Ga 0.304 0.607 0.250
Ir 0.179 0.358 0.958
Ir 0.821 0.642 0.458
Ir 0.821 0.642 0.042
Ge 0.000 0.000 0.000
Ge 0.000 0.000 0.500
Ir 0.179 0.358 0.542
CELL_PARAMETERS angstrom
-0.229 4.225 0.454
-3.175 -2.886 5.312
6.066 -0.058 3.594
```



(3)
The following is a DFT calculation (PBE-GGA) of crystalline Dy2GaGe3Ir4 at its relaxed geometry. Values from VASP.

* Fermi-level density of states: 0.631 states/eV/atom
* formation enthalpy at 0 K: -0.762 eV per atom

Cell and atoms, written as Quantum ESPRESSO input:
```
&SYSTEM
  ibrav = 0, nat = 10, ntyp = 4
/
ATOMIC_SPECIES
Ir 192.22 Ir.upf
Dy 162.50 Dy.upf
Ga 69.72 Ga.upf
Ge 72.64 Ge.upf
ATOMIC_POSITIONS crystal
Ir 0.000 0.000 0.000
Dy 0.000 0.500 0.750
Ga 0.500 0.500 0.500
Ir 0.500 0.500 0.000
Ge 0.500 0.000 0.868
Ir 0.000 0.500 0.366
Dy 0.500 0.000 0.250
Ge 0.000 0.000 0.500
Ge 0.000 0.500 0.132
Ir 0.500 0.000 0.634
CELL_PARAMETERS angstrom
4.192 0.000 0.000
0.000 4.192 0.000
0.000 0.000 10.299
```



Number 1: magnetization 0.00 μB per cell. Number 2: magnetization 0.00 μB per cell. Number 3: magnetization 0.00 μB per cell.